(1)
VASP calculation (PBE+U) on an optimized crystal structure of Cr2FeSiO6.

The structure in extended XYZ format:
```
10
Lattice="5.3325 0.4244 0.6238 3.1610 5.4283 -0.1509 3.3586 1.5620 5.1693" Properties=species:S:1:pos:R:3 pbc="T T T"
O 2.7221 3.5316 0.8685
O 4.2786 1.4003 2.3031
O 1.6704 0.9874 0.9639
O 4.8326 3.9007 3.8720
O 7.1684 3.1022 4.5306
O 7.3829 6.0630 3.4636
Si 5.7541 3.7039 5.2412
Cr 5.9123 2.3311 2.9856
Cr 8.2166 5.7796 0.4642
Fe 8.4992 4.3167 3.4371
```

Values from the calculation:
**E**: -7.1933 eV/atom
**Density of states at the Fermi level**: 0.00 states/eV per atom
**Symmetry**: P1, No. 1
**Calculated density**: 3.481 g/cm3



(2)
VASP calculation (PBE+U) on an optimized crystal structure of HfMg6NiO8.

The structure in extended XYZ format:
```
16
Lattice="4.2834 0.0000 0.0000 0.0000 4.2834 0.0000 0.0000 0.0000 9.1496" Properties=species:S:1:pos:R:3 pbc="T T T"
O 2.1417 2.1417 6.9029
O 2.1417 0.0000 0.0000
O 0.0000 2.1417 4.5748
O 0.0000 0.0000 2.5084
O 2.1417 0.0000 4.5748
O 2.1417 2.1417 2.2467
O 0.0000 0.0000 6.6412
O 0.0000 2.1417 0.0000
Mg 2.1417 2.1417 4.5748
Mg 0.0000 2.1417 7.0703
Mg 0.0000 2.1417 2.0793
Mg 2.1417 2.1417 0.0000
Mg 2.1417 0.0000 7.0703
Mg 2.1417 0.0000 2.0793
Ni 0.0000 0.0000 0.0000
Hf 0.0000 0.0000 4.5748
```

Values from the calculation:
**E**: -6.2416 eV/atom
**Density of states at the Fermi level**: 0.10 states/eV per atom
**Symmetry**: P4/mmm, No. 123
**Calculated density**: 5.055 g/cm3